Record 1
Material: La5CuAg2
Method: DFT, PBE
State: relaxed

Unit cell a=6.7862 b=13.0424 c=5.3008 alpha=90.00 beta=90.00 gamma=90.00
Space group Pbam (No. 55)
Inequivalent atoms, fractional coordinates:
La 0.0000 0.0000 0.0000
La 0.1513 0.3988 0.5000
La 0.1571 0.7122 0.0000
Cu 0.0000 0.5000 0.0000
Ag 0.1107 0.1444 0.5000

Theoretical density ... 6.9 g/cm3
Total magnetization ... 0.00 μB/f.u.
E_form ... -0.1277 eV per atom
Density of states at the Fermi level ... 1.32 states/eV/atom
E_tot ... -0.1629 hartree per atom
Calculated volume ... 29.32 Å³/atom

=====

Record 2
Material: LaCuAg3
Method: DFT, PBE
State: relaxed

Unit cell a=5.7059 b=5.7059 c=5.7059 alpha=90.00 beta=90.00 gamma=90.00
Space group Pm-3m (No. 221)
Inequivalent atoms, fractional coordinates:
La 0.0000 0.0000 0.0000
Cu 0.5000 0.5000 0.5000
Ag 0.0000 0.0000 0.5000

Theoretical density ... 4.7 g/cm3
Total magnetization ... 0.00 μB/f.u.
Excess energy over the best structure of this formula in the dataset ... 1161 meV per atom
E_form ... 1.2612 eV per atom
Density of states at the Fermi level ... 0.45 states/eV/atom
E_tot ... -0.0828 hartree per atom
Calculated volume ... 37.15 Å³/atom

=====

Record 3
Material: La2CuAg
Method: DFT, PBE
State: relaxed

Unit cell a=8.1217 b=8.1217 c=6.8217 alpha=90.00 beta=90.00 gamma=90.00
Space group I-42d (No. 122)
Inequivalent atoms, fractional coordinates:
La 0.2221 0.2500 0.1250
Cu 0.0000 0.0000 0.0000
Ag 0.0000 0.0000 0.5000

Theoretical density ... 6.6 g/cm3
Total magnetization ... 0.00 μB/f.u.
Excess energy over the best structure of this formula in the dataset ... 295 meV per atom
E_form ... 0.0956 eV per atom
Density of states at the Fermi level ... 1.18 states/eV/atom
E_tot ... -0.1509 hartree per atom
Calculated volume ... 28.12 Å³/atom

=====

Record 4
Material: La5Cu2Ag5
Method: DFT, PBE
State: relaxed

Unit cell a=16.6726 b=4.3184 c=11.8426 alpha=90.00 beta=132.31 gamma=90.00
Space group C2/m (No. 12)
Inequivalent atoms, fractional coordinates:
La 0.0000 0.0000 0.0000
La 0.1049 0.0000 0.4084
La 0.1978 0.0000 0.8154
Cu 0.1423 0.5000 0.2577
Ag 0.0000 0.5000 0.5000
Ag 0.0648 0.5000 0.8510
Ag 0.2399 0.5000 0.6699

Theoretical density ... 7.2 g/cm3
Total magnetization ... 0.00 μB/f.u.
E_form ... -0.2228 eV per atom
Density of states at the Fermi level ... 0.84 states/eV/atom
E_tot ... -0.1524 hartree per atom
Calculated volume ... 26.27 Å³/atom

=====

Record 5
Material: LaCuAg2
Method: DFT, PBE
State: relaxed

Unit cell a=3.2930 b=5.0453 c=10.1440 alpha=90.00 beta=90.00 gamma=90.00
Space group Immm (No. 71)
Inequivalent atoms, fractional coordinates:
La 0.0000 0.0000 0.0000
Cu 0.0000 0.0000 0.5000
Ag 0.0000 0.5000 0.2154

Theoretical density ... 8.2 g/cm3
Total magnetization ... 0.00 μB/f.u.
E_form ... -0.0307 eV per atom
Density of states at the Fermi level ... 0.77 states/eV/atom
E_tot ... -0.1364 hartree per atom
Calculated volume ... 21.07 Å³/atom

=====

Record 6
Material: LaCu2Ag
Method: DFT, PBE
State: relaxed

Unit cell a=3.2374 b=3.4169 c=6.9505 alpha=90.00 beta=90.00 gamma=90.00
Space group Pmm2 (No. 25)
Inequivalent atoms, fractional coordinates:
La 0.0000 0.0000 0.0000
Cu 0.0000 0.0000 0.5474
Cu 0.5000 0.5000 0.7096
Ag 0.5000 0.5000 0.3333

Theoretical density ... 8.1 g/cm3
Total magnetization ... 0.00 μB/f.u.
E_form ... -0.0065 eV per atom
Density of states at the Fermi level ... 0.56 states/eV/atom
E_tot ... -0.1470 hartree per atom
Calculated volume ... 19.22 Å³/atom

=====

Record 7
Material: La3Cu4Ag2
Method: DFT, PBE
State: relaxed

Unit cell a=10.9835 b=4.5195 c=8.6264 alpha=90.00 beta=109.31 gamma=90.00
Space group C2/m (No. 12)
Inequivalent atoms, fractional coordinates:
La 0.0000 0.0000 0.0000
La 0.1602 0.5000 0.6744
Cu 0.0586 0.0000 0.3993
Cu 0.2292 0.5000 0.0490
Ag 0.1211 0.5000 0.2827

Theoretical density ... 7.3 g/cm3
Total magnetization ... 0.00 μB/f.u.
E_form ... -0.2262 eV per atom
Density of states at the Fermi level ... 0.71 states/eV/atom
E_tot ... -0.1589 hartree per atom
Calculated volume ... 22.45 Å³/atom

=====

Record 8
Material: La6Cu2Ag
Method: DFT, PBE
State: relaxed

Unit cell a=10.0019 b=10.1855 c=10.5612 alpha=90.00 beta=90.00 gamma=90.00
Space group Immm (No. 71)
Inequivalent atoms, fractional coordinates:
La 0.0000 0.1875 0.2487
La 0.1949 0.5000 0.1741
La 0.2247 0.3250 0.5000
Cu 0.0000 0.3530 0.0000
Cu 0.0000 0.5000 0.3810
Ag 0.0000 0.0000 0.0000
Ag 0.0000 0.0000 0.5000

Theoretical density ... 6.6 g/cm3
Total magnetization ... 0.00 μB/f.u.
E_form ... -0.1079 eV per atom
Density of states at the Fermi level ... 1.30 states/eV/atom
E_tot ... -0.1698 hartree per atom
Calculated volume ... 29.89 Å³/atom

=====

Record 9
Material: LaCu2Ag9
Method: DFT, PBE
State: relaxed

Unit cell a=11.2186 b=11.2186 c=7.2768 alpha=90.00 beta=90.00 gamma=90.00
Space group I4_1/amd (No. 141, origin choice 2)
Inequivalent atoms, fractional coordinates:
La 0.0000 0.2500 0.3750
Cu 0.0000 0.0000 0.0000
Ag 0.0000 0.2500 0.8750
Ag 0.1221 0.0488 0.6842

Theoretical density ... 9.0 g/cm3
Total magnetization ... 0.00 μB/f.u.
E_form ... -0.0337 eV per atom
Density of states at the Fermi level ... 0.35 states/eV/atom
E_tot ... -0.1200 hartree per atom
Calculated volume ... 19.08 Å³/atom

=====

Record 10
Material: LaCu2Ag
Method: DFT, PBE
State: relaxed

Unit cell a=4.0635 b=3.9830 c=10.1413 alpha=90.00 beta=90.00 gamma=90.00
Space group Amm2 (No. 38)
Inequivalent atoms, fractional coordinates:
La 0.0000 0.0000 0.0000
Cu 0.0000 0.0000 0.2757
Cu 0.5000 0.0000 0.4029
Ag 0.5000 0.0000 0.6991

Theoretical density ... 7.6 g/cm3
Total magnetization ... 0.00 μB/f.u.
E_form ... -0.0573 eV per atom
Density of states at the Fermi level ... 0.39 states/eV/atom
E_tot ... -0.1488 hartree per atom
Calculated volume ... 20.52 Å³/atom

=====

Record 11
Material: La2CuAg2
Method: DFT, PBE
State: relaxed

Unit cell a=5.9461 b=5.9461 c=7.8332 alpha=90.00 beta=90.00 gamma=90.00
Space group I4/mmm (No. 139)
Inequivalent atoms, fractional coordinates:
La 0.0000 0.5000 0.2500
Cu 0.0000 0.0000 0.0000
Ag 0.0000 0.0000 0.3353

Theoretical density ... 6.7 g/cm3
Total magnetization ... 0.00 μB/f.u.
Excess energy over the best structure of this formula in the dataset ... 296 meV per atom
E_form ... 0.0652 eV per atom
Density of states at the Fermi level ... 0.86 states/eV/atom
E_tot ... -0.1421 hartree per atom
Calculated volume ... 27.70 Å³/atom

=====

Record 12
Material: LaCu2Ag
Method: DFT, PBE
State: relaxed

Unit cell a=4.5872 b=4.5872 c=18.0225 alpha=90.00 beta=90.00 gamma=90.00
Space group I-42d (No. 122)
Inequivalent atoms, fractional coordinates:
La 0.0000 0.0000 0.0000
Cu 0.0416 0.2500 0.6250
Ag 0.0000 0.0000 0.5000

Theoretical density ... 6.5 g/cm3
Total magnetization ... 0.00 μB/f.u.
E_form ... 0.1149 eV per atom
Density of states at the Fermi level ... 1.15 states/eV/atom
E_tot ... -0.1425 hartree per atom
Calculated volume ... 23.70 Å³/atom

=====

Copy entry 1 word for word.
Material: La5CuAg2
Method: DFT, PBE
State: relaxed

Unit cell a=6.7862 b=13.0424 c=5.3008 alpha=90.00 beta=90.00 gamma=90.00
Space group Pbam (No. 55)
Inequivalent atoms, fractional coordinates:
La 0.0000 0.0000 0.0000
La 0.1513 0.3988 0.5000
La 0.1571 0.7122 0.0000
Cu 0.0000 0.5000 0.0000
Ag 0.1107 0.1444 0.5000

Theoretical density ... 6.9 g/cm3
Total magnetization ... 0.00 μB/f.u.
E_form ... -0.1277 eV per atom
Density of states at the Fermi level ... 1.32 states/eV/atom
E_tot ... -0.1629 hartree per atom
Calculated volume ... 29.32 Å³/atom

=====

The lowest E_tot belongs to which entry?
La6Cu2Ag

=====

Which value of density of states at the Fermi level does entry 1 give?
1.32 states/eV/atom

=====

Which value of E_tot does entry 12 give?
-0.1425 hartree per atom